Entry 1:
A plane-wave DFT calculation with PBE was carried out for a relaxed structure of TaAgAsPd2.

Cell: 4.6327 4.7977 4.6327 Å, 90.00 90.00 90.00°
Closest atoms and distances in Å follow each position.
Atoms (fractional coordinates):
As: 0.0000 0.0000 0.0000  4 Pd 2.32, 2 Ta 2.40
Ag: 0.5000 0.5000 0.5000  4 Ta 3.28, 8 Pd 3.33
Pd: 0.5000 0.0000 0.0000  2 As 2.32
Pd: 0.0000 0.0000 0.5000  2 As 2.32
Ta: 0.0000 0.5000 0.0000  2 As 2.40

Values from the calculation:
The total DFT energy (no corrections) comes out at -5.452 eV/atom. Its density of states at the Fermi level is 0.783 states/eV/atom. Its space group is P4/mmm. The formation energy is 0.495 eV per atom. The calculation puts the total magnetization at 0.089 μB per atom.

***

Entry 2:
A plane-wave DFT calculation with PBE was carried out for a relaxed structure of SrAg2Pd.

Cell: 4.6944 4.6944 5.7944 Å, 66.10 66.10 60.00°
Closest atoms and distances in Å follow each position.
Atoms (fractional coordinates):
Sr: 0.0000 0.0000 0.0000  8 Ag 3.14-3.36
Pd: 0.5000 0.5000 0.5000  6 Ag 2.77
Ag: 0.7959 0.7959 0.6124  3 Pd 2.77, 3 Ag 2.94
Ag: 0.2041 0.2041 0.3876  3 Pd 2.77, 3 Ag 2.94

Values from the calculation:
The total DFT energy (no corrections) comes out at -3.409 eV/atom. Its density of states at the Fermi level is 0.422 states/eV/atom. Its space group is R-3m. The formation energy is -0.265 eV per atom. The calculation puts the total magnetization at 0.000 μB per atom.

***

Entry 3:
A plane-wave DFT calculation with PBE was carried out for a relaxed structure of CdCo4Br.

Cell: 4.9991 4.9991 4.9991 Å, 60.00 60.00 60.00°
Closest atoms and distances in Å follow each position.
Atoms (fractional coordinates):
Br: 0.7500 0.7500 0.7500  12 Co 2.93, 4 Cd 3.06
Co: 0.8750 0.3750 0.3750  6 Co 2.50
Cd: 0.0000 0.0000 0.0000  12 Co 2.93, 4 Br 3.06
Co: 0.3750 0.8750 0.3750  6 Co 2.50
Co: 0.3750 0.3750 0.3750  6 Co 2.50
Co: 0.3750 0.3750 0.8750  6 Co 2.50

Values from the calculation:
The total DFT energy (no corrections) comes out at -4.570 eV/atom. Its density of states at the Fermi level is 1.235 states/eV/atom. Its uncorrected formation energy is 599 meV per atom. Its space group is F-43m. The calculation puts the total magnetization at 1.188 μB per atom.

***

Entry 4:
A plane-wave DFT calculation with PBE was carried out for a relaxed structure of Be2VPd.

Cell: 3.9941 3.9941 3.9941 Å, 60.00 60.00 60.00°
Closest atoms and distances in Å follow each position.
Atoms (fractional coordinates):
V: 0.0000 0.0000 0.0000  8 Be 2.45
Be: 0.2500 0.2500 0.2500  4 Pd 2.45, 4 V 2.45
Be: 0.7500 0.7500 0.7500  4 V 2.45, 4 Pd 2.45
Pd: 0.5000 0.5000 0.5000  8 Be 2.45

Values from the calculation:
The total DFT energy (no corrections) comes out at -5.626 eV/atom. Its density of states at the Fermi level is 1.278 states/eV/atom. Its space group is Fm-3m. The formation energy is -0.185 eV per atom. The calculation puts the total magnetization at 0.408 μB per atom.

***

Repeat the first record exactly.
A plane-wave DFT calculation with PBE was carried out for a relaxed structure of TaAgAsPd2.

Cell: 4.6327 4.7977 4.6327 Å, 90.00 90.00 90.00°
Closest atoms and distances in Å follow each position.
Atoms (fractional coordinates):
As: 0.0000 0.0000 0.0000  4 Pd 2.32, 2 Ta 2.40
Ag: 0.5000 0.5000 0.5000  4 Ta 3.28, 8 Pd 3.33
Pd: 0.5000 0.0000 0.0000  2 As 2.32
Pd: 0.0000 0.0000 0.5000  2 As 2.32
Ta: 0.0000 0.5000 0.0000  2 As 2.40

Values from the calculation:
The total DFT energy (no corrections) comes out at -5.452 eV/atom. Its density of states at the Fermi level is 0.783 states/eV/atom. Its space group is P4/mmm. The formation energy is 0.495 eV per atom. The calculation puts the total magnetization at 0.089 μB per atom.

***

Repeat the first record exactly.
A plane-wave DFT calculation with PBE was carried out for a relaxed structure of TaAgAsPd2.

Cell: 4.6327 4.7977 4.6327 Å, 90.00 90.00 90.00°
Closest atoms and distances in Å follow each position.
Atoms (fractional coordinates):
As: 0.0000 0.0000 0.0000  4 Pd 2.32, 2 Ta 2.40
Ag: 0.5000 0.5000 0.5000  4 Ta 3.28, 8 Pd 3.33
Pd: 0.5000 0.0000 0.0000  2 As 2.32
Pd: 0.0000 0.0000 0.5000  2 As 2.32
Ta: 0.0000 0.5000 0.0000  2 As 2.40

Values from the calculation:
The total DFT energy (no corrections) comes out at -5.452 eV/atom. Its density of states at the Fermi level is 0.783 states/eV/atom. Its space group is P4/mmm. The formation energy is 0.495 eV per atom. The calculation puts the total magnetization at 0.089 μB per atom.